--- 1 ---
Entry from the Alexandria database: crystalline SrLaBr2 at its relaxed geometry (PBE).

```
SrLaBr2
1.0
-3.525 3.525 6.932
3.525 -3.525 6.932
3.525 3.525 -6.932
Sr La Br
2 2 4
direct
0.000 0.000 0.000
0.750 0.250 0.500
0.250 0.750 0.500
0.500 0.500 0.000
0.129 0.625 0.004
0.375 0.379 0.504
0.621 0.125 0.996
0.875 0.871 0.496
```

As for the volume: 344.50 Å³ per cell.

--- 2 ---
Entry from the Alexandria database: crystalline SrLaBr2 at its relaxed geometry (PBE).

```
SrLaBr2
1.0
3.947 0.000 0.000
0.000 6.113 0.000
-0.994 0.000 5.505
Sr La Br
1 1 2
direct
0.000 0.000 0.000
0.471 0.500 0.408
0.094 0.500 0.859
0.415 0.000 0.544
```

As for the volume: 132.83 Å³ per cell.

--- 3 ---
Entry from the Alexandria database: crystalline SrLaBr2 at its relaxed geometry (PBE).

```
SrLaBr2
1.0
0.000 4.102 4.102
4.102 0.000 4.102
4.102 4.102 0.000
Sr La Br
1 1 2
direct
0.000 0.000 0.000
0.750 0.750 0.750
0.250 0.250 0.250
0.500 0.500 0.500
```

As for the volume: 138.03 Å³ per cell.

The most stable of them is 2.